Entry 1:
# LaPbO2F PBE optimized geometry
# Crystal system   tetragonal
# Raw formation energy   -1.6426 eV/atom
data_LaPbO2F
_chemical_formula_sum 'La1 Pb1 O2 F1'
_cell_length_a 4.5735
_cell_length_b 4.4887
_cell_length_c 4.5735
_cell_angle_alpha 90.00
_cell_angle_beta 90.00
_cell_angle_gamma 90.00
_symmetry_space_group_name_H-M 'P 1'
_symmetry_Int_Tables_number 1
loop_
_symmetry_equiv_pos_as_xyz
'x,y,z'
loop_
_atom_site_label
_atom_site_type_symbol
_atom_site_fract_x
_atom_site_fract_y
_atom_site_fract_z
F1 F 0.0000 0.5000 0.0000
La1 La 0.5000 0.5000 0.5000
O1 O 0.5000 0.0000 0.0000
O2 O 0.0000 0.0000 0.5000
Pb1 Pb 0.0000 0.0000 0.0000

=====

Entry 2:
# SbSeNF2 PBE optimized geometry
# Excess energy over the best structure of this formula in the dataset   0.3167 eV per atom
# Crystal system   tetragonal
# Raw formation energy   0.1458 eV/atom
data_SbSeNF2
_chemical_formula_sum 'Sb1 Se1 N1 F2'
_cell_length_a 4.7899
_cell_length_b 4.7899
_cell_length_c 3.6166
_cell_angle_alpha 90.00
_cell_angle_beta 90.00
_cell_angle_gamma 90.00
_symmetry_space_group_name_H-M 'P 1'
_symmetry_Int_Tables_number 1
loop_
_symmetry_equiv_pos_as_xyz
'x,y,z'
loop_
_atom_site_label
_atom_site_type_symbol
_atom_site_fract_x
_atom_site_fract_y
_atom_site_fract_z
F1 F 0.0000 0.5000 0.0000
F2 F 0.5000 0.0000 0.0000
Se1 Se 0.0000 0.0000 0.0000
Sb1 Sb 0.5000 0.5000 0.5000
N1 N 0.0000 0.0000 0.5000

=====

Entry 3:
# SrHgCl PBE optimized geometry
# Excess energy over the best structure of this formula in the dataset   0.1461 eV per atom
# Crystal system   trigonal
# Raw formation energy   -1.2264 eV/atom
data_SrHgCl
_chemical_formula_sum 'Sr4 Hg4 Cl4'
_cell_length_a 4.2812
_cell_length_b 4.2812
_cell_length_c 27.4681
_cell_angle_alpha 90.00
_cell_angle_beta 90.00
_cell_angle_gamma 120.00
_symmetry_space_group_name_H-M 'P 1'
_symmetry_Int_Tables_number 1
loop_
_symmetry_equiv_pos_as_xyz
'x,y,z'
loop_
_atom_site_label
_atom_site_type_symbol
_atom_site_fract_x
_atom_site_fract_y
_atom_site_fract_z
Sr1 Sr 0.6667 0.3333 0.3823
Sr2 Sr 0.3333 0.6667 0.6177
Sr3 Sr 0.6667 0.3333 0.8905
Sr4 Sr 0.3333 0.6667 0.1095
Hg1 Hg 0.3333 0.6667 0.8058
Hg2 Hg 0.3333 0.6667 0.9688
Hg3 Hg 0.6667 0.3333 0.1942
Hg4 Hg 0.6667 0.3333 0.0312
Cl1 Cl 0.6667 0.3333 0.5582
Cl2 Cl 0.3333 0.6667 0.3225
Cl3 Cl 0.3333 0.6667 0.4418
Cl4 Cl 0.6667 0.3333 0.6775

=====

Entry 4:
# PrPdAu PBE optimized geometry
# Excess energy over the best structure of this formula in the dataset   0.0000 eV per atom
# Formation energy from the elements   -0.769 eV/atom
# Crystal system   monoclinic
data_PrPdAu
_chemical_formula_sum 'Pr2 Pd2 Au2'
_cell_length_a 4.3190
_cell_length_b 5.6611
_cell_length_c 6.4869
_cell_angle_alpha 73.93
_cell_angle_beta 70.56
_cell_angle_gamma 67.58
_symmetry_space_group_name_H-M 'P 1'
_symmetry_Int_Tables_number 1
loop_
_symmetry_equiv_pos_as_xyz
'x,y,z'
loop_
_atom_site_label
_atom_site_type_symbol
_atom_site_fract_x
_atom_site_fract_y
_atom_site_fract_z
Pd1 Pd 0.1491 0.3745 0.3272
Pd2 Pd 0.8509 0.6255 0.6728
Pr1 Pr 0.5489 0.1968 0.7054
Pr2 Pr 0.4511 0.8032 0.2946
Au1 Au 0.8347 0.2426 0.0880
Au2 Au 0.1653 0.7574 0.9120

=====

Entry 5:
# TaBeCdIn2 PBE optimized geometry
# Formation energy from the elements   1.410 eV/atom
# Crystal system   tetragonal
data_TaBeCdIn2
_chemical_formula_sum 'Ta1 Be1 Cd1 In2'
_cell_length_a 5.3092
_cell_length_b 4.3058
_cell_length_c 5.3092
_cell_angle_alpha 90.00
_cell_angle_beta 90.00
_cell_angle_gamma 90.00
_symmetry_space_group_name_H-M 'P 1'
_symmetry_Int_Tables_number 1
loop_
_symmetry_equiv_pos_as_xyz
'x,y,z'
loop_
_atom_site_label
_atom_site_type_symbol
_atom_site_fract_x
_atom_site_fract_y
_atom_site_fract_z
Be1 Be 0.0000 0.5000 0.0000
Cd1 Cd 0.0000 0.0000 0.0000
Ta1 Ta 0.5000 0.5000 0.5000
In1 In 0.0000 0.0000 0.5000
In2 In 0.5000 0.0000 0.0000

=====

Entry 6:
# KBe2SbCl8 PBE optimized geometry
# Crystal system   trigonal
# Raw formation energy   -1.2925 eV/atom
data_KBe2SbCl8
_chemical_formula_sum 'K1 Be2 Sb1 Cl8'
_cell_length_a 6.1794
_cell_length_b 6.1794
_cell_length_c 10.4102
_cell_angle_alpha 72.73
_cell_angle_beta 72.73
_cell_angle_gamma 60.00
_symmetry_space_group_name_H-M 'P 1'
_symmetry_Int_Tables_number 1
loop_
_symmetry_equiv_pos_as_xyz
'x,y,z'
loop_
_atom_site_label
_atom_site_type_symbol
_atom_site_fract_x
_atom_site_fract_y
_atom_site_fract_z
Cl1 Cl 0.0405 0.4103 0.8345
Cl2 Cl 0.2853 0.9595 0.1655
Cl3 Cl 0.5897 0.2853 0.1655
Cl4 Cl 0.9595 0.5897 0.1655
Cl5 Cl 0.7147 0.0405 0.8345
Cl6 Cl 0.8122 0.8122 0.5634
Cl7 Cl 0.4103 0.7147 0.8345
Cl8 Cl 0.1878 0.1878 0.4366
Be1 Be 0.7458 0.7458 0.7626
Be2 Be 0.2542 0.2542 0.2374
Sb1 Sb 0.0000 0.0000 0.0000
K1 K 0.5000 0.5000 0.5000

=====

Entry 7:
# ZrBiSbP2 PBE optimized geometry
# Crystal system   tetragonal
# Raw formation energy   1.2135 eV/atom
data_ZrBiSbP2
_chemical_formula_sum 'Zr1 Bi1 Sb1 P2'
_cell_length_a 5.1117
_cell_length_b 5.6153
_cell_length_c 5.1117
_cell_angle_alpha 90.00
_cell_angle_beta 90.00
_cell_angle_gamma 90.00
_symmetry_space_group_name_H-M 'P 1'
_symmetry_Int_Tables_number 1
loop_
_symmetry_equiv_pos_as_xyz
'x,y,z'
loop_
_atom_site_label
_atom_site_type_symbol
_atom_site_fract_x
_atom_site_fract_y
_atom_site_fract_z
P1 P 0.0000 0.0000 0.5000
P2 P 0.5000 0.0000 0.0000
Zr1 Zr 0.5000 0.5000 0.5000
Sb1 Sb 0.0000 0.5000 0.0000
Bi1 Bi 0.0000 0.0000 0.0000

=====

Entry 8:
# Mn2VCo PBE optimized geometry
# Excess energy over the best structure of this formula in the dataset   0.0150 eV per atom
# Formation energy from the elements   -0.075 eV/atom
# Crystal system   tetragonal
data_Mn2VCo
_chemical_formula_sum 'Mn2 V1 Co1'
_cell_length_a 2.9139
_cell_length_b 2.9139
_cell_length_c 5.6699
_cell_angle_alpha 90.00
_cell_angle_beta 90.00
_cell_angle_gamma 90.00
_symmetry_space_group_name_H-M 'P 1'
_symmetry_Int_Tables_number 1
loop_
_symmetry_equiv_pos_as_xyz
'x,y,z'
loop_
_atom_site_label
_atom_site_type_symbol
_atom_site_fract_x
_atom_site_fract_y
_atom_site_fract_z
Co1 Co 0.5000 0.5000 0.0000
Mn1 Mn 0.0000 0.0000 0.2468
Mn2 Mn 0.0000 0.0000 0.7532
V1 V 0.5000 0.5000 0.5000

=====

Entry 9:
# BaH6Ir PBE optimized geometry
# Excess energy over the best structure of this formula in the dataset   0.0262 eV per atom
# Crystal system   trigonal
data_BaH6Ir
_chemical_formula_sum 'Ba1 H6 Ir1'
_cell_length_a 5.3195
_cell_length_b 5.3195
_cell_length_c 4.6998
_cell_angle_alpha 55.53
_cell_angle_beta 55.53
_cell_angle_gamma 60.00
_symmetry_space_group_name_H-M 'P 1'
_symmetry_Int_Tables_number 1
loop_
_symmetry_equiv_pos_as_xyz
'x,y,z'
loop_
_atom_site_label
_atom_site_type_symbol
_atom_site_fract_x
_atom_site_fract_y
_atom_site_fract_z
H1 H 0.6030 0.0966 0.2038
H2 H 0.9034 0.3970 0.7962
H3 H 0.0966 0.6030 0.2038
H4 H 0.0966 0.0966 0.2038
H5 H 0.3970 0.9034 0.7962
H6 H 0.9034 0.9034 0.7962
Ba1 Ba 0.5000 0.5000 0.5000
Ir1 Ir 0.0000 0.0000 0.0000

=====

Entry 10:
# MgInAuO4 PBE optimized geometry
# Crystal system   orthorhombic
# Raw formation energy   -1.2223 eV/atom
data_MgInAuO4
_chemical_formula_sum 'Mg2 In2 Au2 O8'
_cell_length_a 6.1730
_cell_length_b 6.6971
_cell_length_c 6.2230
_cell_angle_alpha 117.68
_cell_angle_beta 90.00
_cell_angle_gamma 117.44
_symmetry_space_group_name_H-M 'P 1'
_symmetry_Int_Tables_number 1
loop_
_symmetry_equiv_pos_as_xyz
'x,y,z'
loop_
_atom_site_label
_atom_site_type_symbol
_atom_site_fract_x
_atom_site_fract_y
_atom_site_fract_z
O1 O 0.6968 0.9295 0.2148
O2 O 0.7371 0.4743 0.7065
O3 O 0.2629 0.5257 0.7322
O4 O 0.2327 0.9295 0.2148
O5 O 0.3032 0.0705 0.7852
O6 O 0.7371 0.4743 0.2678
O7 O 0.2629 0.5257 0.2935
O8 O 0.7673 0.0705 0.7852
Mg1 Mg 0.8635 0.7271 0.1135
Mg2 Mg 0.1365 0.2729 0.8865
Au1 Au 0.5000 0.5000 0.5000
Au2 Au 0.0000 0.5000 0.5000
In1 In 0.5000 0.0000 0.5000
In2 In 0.5000 0.0000 0.0000

=====

Entry 11:
# Li2ScMo PBE optimized geometry
# Excess energy over the best structure of this formula in the dataset   0.2018 eV per atom
# Formation energy from the elements   0.428 eV/atom
# Crystal system   orthorhombic
data_Li2ScMo
_chemical_formula_sum 'Li2 Sc1 Mo1'
_cell_length_a 2.7088
_cell_length_b 2.7088
_cell_length_c 10.1514
_cell_angle_alpha 90.00
_cell_angle_beta 90.00
_cell_angle_gamma 107.95
_symmetry_space_group_name_H-M 'P 1'
_symmetry_Int_Tables_number 1
loop_
_symmetry_equiv_pos_as_xyz
'x,y,z'
loop_
_atom_site_label
_atom_site_type_symbol
_atom_site_fract_x
_atom_site_fract_y
_atom_site_fract_z
Li1 Li 0.0000 0.0000 0.0158
Li2 Li 0.0000 0.0000 0.4842
Sc1 Sc 0.5000 0.5000 0.7500
Mo1 Mo 0.5000 0.5000 0.2500

=====

Entry 12:
# Pm3Si4Ir2 PBE optimized geometry
# Excess energy over the best structure of this formula in the dataset   0.0128 eV per atom
# Crystal system   monoclinic
# Raw formation energy   -0.8882 eV/atom
data_Pm3Si4Ir2
_chemical_formula_sum 'Pm3 Si4 Ir2'
_cell_length_a 4.0333
_cell_length_b 5.9931
_cell_length_c 8.3588
_cell_angle_alpha 99.74
_cell_angle_beta 90.00
_cell_angle_gamma 109.66
_symmetry_space_group_name_H-M 'P 1'
_symmetry_Int_Tables_number 1
loop_
_symmetry_equiv_pos_as_xyz
'x,y,z'
loop_
_atom_site_label
_atom_site_type_symbol
_atom_site_fract_x
_atom_site_fract_y
_atom_site_fract_z
Pm1 Pm 0.3325 0.6649 0.3404
Pm2 Pm 0.6675 0.3351 0.6596
Pm3 Pm 0.0000 0.0000 0.0000
Si1 Si 0.2747 0.5493 0.9333
Si2 Si 0.0496 0.0993 0.3841
Si3 Si 0.9504 0.9007 0.6159
Si4 Si 0.7253 0.4507 0.0667
Ir1 Ir 0.3930 0.7860 0.7248
Ir2 Ir 0.6070 0.2140 0.2752

=====

Entry 13:
# Ce2AlGe4Au3 PBE optimized geometry
# Formation energy from the elements   -0.464 eV/atom
# Crystal system   tetragonal
data_Ce2AlGe4Au3
_chemical_formula_sum 'Ce2 Al1 Ge4 Au3'
_cell_length_a 4.3877
_cell_length_b 4.3877
_cell_length_c 10.8670
_cell_angle_alpha 90.00
_cell_angle_beta 90.00
_cell_angle_gamma 90.00
_symmetry_space_group_name_H-M 'P 1'
_symmetry_Int_Tables_number 1
loop_
_symmetry_equiv_pos_as_xyz
'x,y,z'
loop_
_atom_site_label
_atom_site_type_symbol
_atom_site_fract_x
_atom_site_fract_y
_atom_site_fract_z
Ge1 Ge 0.5000 0.5000 0.0000
Ge2 Ge 0.5000 0.0000 0.6351
Ge3 Ge 0.0000 0.5000 0.3649
Ge4 Ge 0.0000 0.0000 0.0000
Ce1 Ce 0.5000 0.0000 0.2530
Ce2 Ce 0.0000 0.5000 0.7470
Au1 Au 0.5000 0.0000 0.8646
Au2 Au 0.0000 0.0000 0.5000
Au3 Au 0.0000 0.5000 0.1354
Al1 Al 0.5000 0.5000 0.5000

=====

Total magnetization: 0.0, 0.0, 0.0, 0.0, 1.5, 0.0, 0.0, 4.7, 0.0, 0.0, 0.0, 0.0, 1.8 (μB/cell)